# SrGaMo2O8 | Alexandria | GGA+U | relaxed
data_SrGaMo2O8
_symmetry_space_group_name_H-M 'C 1 2/m 1'
_symmetry_Int_Tables_number 12
_cell_length_a 10.416
_cell_length_b 5.907
_cell_length_c 6.354
_cell_angle_alpha 90.00
_cell_angle_beta 90.91
_cell_angle_gamma 90.00
loop_
_symmetry_equiv_pos_as_xyz
'x,y,z'
'-x,-y,-z'
'-x,y,-z'
'x,-y,z'
'x+1/2,y+1/2,z'
'-x+1/2,-y+1/2,-z'
'-x+1/2,y+1/2,-z'
'x+1/2,-y+1/2,z'
loop_
_atom_site_label
_atom_site_type_symbol
_atom_site_fract_x
_atom_site_fract_y
_atom_site_fract_z
Sr1 Sr 0.000 0.000 0.000
Ga1 Ga 0.000 0.000 0.500
Mo1 Mo 0.168 0.500 0.620
O1 O 0.079 0.238 0.698
O2 O 0.158 0.000 0.306
O3 O 0.169 0.500 0.346
# - VASP energy: -6.638 eV per atom
# - Total magnetic moment: 0.08 μB per atom